Entry from Alexandria via LeMat-Bulk: crystalline Mn2Tl3WO9 at its relaxed geometry (PBE+U).

```
Mn2Tl3WO9
1.0
5.641 0.000 0.000
-2.820 4.885 0.000
0.000 0.000 6.965
Mn Tl W O
2 3 1 9
direct
0.333 0.667 0.166
0.667 0.333 0.834
0.000 0.000 0.000
0.333 0.667 0.699
0.667 0.333 0.301
0.000 0.000 0.500
0.000 0.500 0.000
0.163 0.326 0.338
0.163 0.837 0.338
0.326 0.163 0.662
0.500 0.000 0.000
0.500 0.500 0.000
0.674 0.837 0.338
0.837 0.163 0.662
0.837 0.674 0.662
```

Computed properties:
Raw total energy = -6.097 eV per atom
DOS at the Fermi energy = 5.6 states/eV per cell